Record 1
Density functional theory data (PBE) for crystalline Li2SmPaSe4 at its relaxed geometry.

Results
Total moment in μB/cell: 1.8
Space-group type: P2/m (10)
VASP energy in eV per atom: -5.455
Uncorrected formation energy in eV/atom: -1.46

```
8
Lattice="6.995 0.000 0.000 0.000 4.050 0.000 -2.375 0.000 6.692" Properties=species:S:1:pos:R:3 pbc="T T T"
Li 0.000 0.000 0.000
Li -1.187 2.025 3.346
Sm 2.310 0.000 3.346
Pa 3.497 2.025 0.000
Se -0.116 0.000 5.010
Se 1.102 2.025 1.606
Se 3.518 2.025 5.086
Se 4.736 0.000 1.681
```

Record 2
Density functional theory data (PBE) for crystalline Li2PaSn3Se6 at its relaxed geometry.

Results
Total moment in μB/cell: 1.0
Space-group type: C2/m (12)
VASP energy in eV per atom: -4.699
Uncorrected formation energy in eV/atom: -0.85

```
12
Lattice="3.586 -6.240 0.000 3.586 6.240 0.000 -2.313 0.000 7.024" Properties=species:S:1:pos:R:3 pbc="T T T"
Li 3.586 4.013 0.000
Li 3.586 -4.013 0.000
Pa 3.586 0.000 0.000
Sn -1.156 0.000 3.512
Sn 2.429 2.038 3.512
Sn 2.429 -2.038 3.512
Se 0.062 2.024 5.415
Se 1.276 0.000 1.717
Se 0.062 -2.024 5.415
Se 4.796 2.024 1.609
Se 3.583 0.000 5.308
Se 4.796 -2.024 1.609
```

Record 3
Density functional theory data (PBE) for crystalline Li2PaSnSe4 at its relaxed geometry.

Results
Total moment in μB/cell: 1.0
Space-group type: P2/m (10)
VASP energy in eV per atom: -4.982
Uncorrected formation energy in eV/atom: -1.07

```
8
Lattice="6.869 0.000 0.000 0.000 4.095 0.000 -2.599 0.000 6.941" Properties=species:S:1:pos:R:3 pbc="T T T"
Li 0.000 0.000 0.000
Li -1.300 2.048 3.470
Pa 2.135 0.000 3.470
Sn 3.434 2.048 0.000
Se 1.019 2.048 1.749
Se -0.209 0.000 5.044
Se 4.478 0.000 1.897
Se 3.251 2.048 5.191
```

Record 4
Density functional theory data (PBE) for crystalline Sr2Li3PaSe6 at its relaxed geometry.

Results
Total moment in μB/cell: 0.0
Space-group type: C2/m (12)
VASP energy in eV per atom: -4.852
Uncorrected formation energy in eV/atom: -1.56

```
12
Lattice="3.674 -6.622 0.000 3.674 6.622 0.000 -2.176 0.000 6.497" Properties=species:S:1:pos:R:3 pbc="T T T"
Sr 3.674 4.348 0.000
Sr 3.674 -4.348 0.000
Li -1.088 0.000 3.248
Li 2.586 1.679 3.248
Li 2.586 -1.679 3.248
Pa 3.674 0.000 0.000
Se 0.400 1.964 4.823
Se 1.366 0.000 1.595
Se 0.400 -1.964 4.823
Se 4.772 1.964 1.674
Se 3.807 0.000 4.902
Se 4.772 -1.964 1.674
```

Record 5
Density functional theory data (PBE) for crystalline SrLi2PaSe4 at its relaxed geometry.

Results
Total moment in μB/cell: 1.0
Space-group type: I-4m2 (119)
VASP energy in eV per atom: -5.055
Uncorrected formation energy in eV/atom: -1.44

```
8
Lattice="-2.935 2.935 6.022 2.935 -2.935 6.022 2.935 2.935 -6.022" Properties=species:S:1:pos:R:3 pbc="T T T"
Sr 0.000 0.000 0.000
Li 0.000 0.000 6.022
Li 0.000 2.935 3.011
Pa 2.935 0.000 3.011
Se 2.935 0.000 0.208
Se 0.000 0.000 3.108
Se 2.935 0.000 5.814
Se 0.000 0.000 8.936
```

Record 6
Density functional theory data (PBE) for crystalline SrLiPaSe4 at its relaxed geometry.

Results
Total moment in μB/cell: 0.0
Space-group type: Imma (74)
VASP energy in eV per atom: -5.362
Uncorrected formation energy in eV/atom: -1.50

```
14
Lattice="-4.485 4.813 4.594 4.485 -4.813 4.594 4.485 4.813 -4.594" Properties=species:S:1:pos:R:3 pbc="T T T"
Sr 0.000 2.407 1.504
Sr 4.485 2.407 3.089
Li 4.485 0.000 0.000
Li 0.000 0.000 4.594
Pa 2.242 2.407 -2.297
Pa 2.242 -2.407 2.297
Se 4.485 4.146 -2.640
Se 4.485 -0.667 2.640
Se 2.772 2.407 0.343
Se 6.198 2.407 0.343
Se -1.713 2.407 4.250
Se 1.713 2.407 4.250
Se 0.000 5.480 1.953
Se 0.000 0.667 7.234
```

Record 7
Density functional theory data (PBE) for crystalline Sr2LiPaSe4 at its relaxed geometry.

Results
Total moment in μB/cell: 1.8
Space-group type: P2/m (10)
VASP energy in eV per atom: -5.189
Uncorrected formation energy in eV/atom: -1.60

```
8
Lattice="7.371 0.000 0.000 0.000 4.229 0.000 -2.401 0.000 7.011" Properties=species:S:1:pos:R:3 pbc="T T T"
Sr 0.000 0.000 0.000
Sr 3.685 2.115 0.000
Li -1.201 2.115 3.506
Pa 2.485 0.000 3.506
Se 0.073 0.000 5.090
Se 1.232 2.115 1.889
Se 3.738 2.115 5.123
Se 4.897 0.000 1.922
```

Record 8
Density functional theory data (PBE) for crystalline Li2PaTa2Se6 at its relaxed geometry.

Results
Total moment in μB/cell: 0.9
Space-group type: C2/m (12)
VASP energy in eV per atom: -6.291
Uncorrected formation energy in eV/atom: -1.02

```
11
Lattice="3.265 -5.502 0.000 3.265 5.502 0.000 -1.727 0.000 6.757" Properties=species:S:1:pos:R:3 pbc="T T T"
Li 3.265 3.606 0.000
Li 3.265 -3.606 0.000
Pa -0.863 0.000 3.379
Ta 2.402 1.451 3.379
Ta 2.402 -1.451 3.379
Se 0.317 2.005 4.939
Se 1.343 0.000 1.531
Se 0.317 -2.005 4.939
Se 4.487 2.005 1.818
Se 3.461 0.000 5.227
Se 4.487 -2.005 1.818
```